A relaxed structure of Cu2SeCl2, computed with PBE.

Results
- Total magnetic moment: 1.38 μB/cell
- Symmetry: P4/mbm
- Raw total energy: -31.82 eV per cell
- DOS at the Fermi energy: 3.6 states/eV per cell

Cell: 7.059 7.059 4.440 Å, 90.00 90.00 90.00°
Site moments in Bohr magnetons follow the coordinates.
Fractional positions:
Cl (0.317, 0.183, 0.500)  0.04
Cu (0.276, 0.224, 0.000)  0.02
Cu (0.224, 0.724, 0.000)  0.02
Cl (0.183, 0.683, 0.500)  0.04
Cl (0.817, 0.317, 0.500)  0.04
Cu (0.776, 0.276, 0.000)  0.02
Cl (0.683, 0.817, 0.500)  0.04
Se (0.500, 0.500, 0.000)  0.36
Se (0.000, 0.000, 0.000)  0.36
Cu (0.724, 0.776, 0.000)  0.02

=====

A relaxed structure of CaErInPt, computed with PBE.

Results
- Total magnetic moment: 0.00 μB/cell
- Energy of formation from the pure elements: -0.69 eV/atom
- Symmetry: F-43m
- DOS at the Fermi energy: 1.5 states/eV per cell

Cell: 5.108 5.108 5.108 Å, 60.00 60.00 60.00°
Fractional positions:
Pt (0.750, 0.750, 0.750)
In (0.250, 0.250, 0.250)
Er (0.000, 0.000, 0.000)
Ca (0.500, 0.500, 0.500)

=====

A relaxed structure of CePr4Sn15, computed with PBE.

Results
- Total magnetic moment: 0.63 μB/cell
- Energy of formation from the pure elements: -0.51 eV/atom
- Symmetry: P4/mmm
- DOS at the Fermi energy: 14.8 states/eV per cell

Cell: 4.754 4.754 24.186 Å, 90.00 90.00 90.00°
Site moments in Bohr magnetons follow the coordinates.
Fractional positions:
Sn (0.000, 0.500, 0.903)  0.01
Sn (0.500, 0.500, 0.399)  0.00
Pr (0.000, 0.000, 0.804)  0.00
Sn (0.000, 0.500, 0.500)  0.00
Sn (0.500, 0.000, 0.903)  0.01
Sn (0.500, 0.000, 0.097)  0.01
Sn (0.500, 0.000, 0.298)  0.00
Sn (0.500, 0.500, 0.802)  0.00
Sn (0.000, 0.500, 0.298)  0.00
Pr (0.000, 0.000, 0.601)  0.00
Sn (0.500, 0.000, 0.702)  0.00
Sn (0.500, 0.500, 0.000)  0.00
Ce (0.000, 0.000, 0.000)  0.47
Sn (0.000, 0.500, 0.097)  0.01
Pr (0.000, 0.000, 0.196)  0.00
Pr (0.000, 0.000, 0.399)  0.00
Sn (0.500, 0.000, 0.500)  0.00
Sn (0.000, 0.500, 0.702)  0.00
Sn (0.500, 0.500, 0.198)  0.00
Sn (0.500, 0.500, 0.601)  0.00

=====

A relaxed structure of Y2Si3Ni5, computed with PBE.

Results
- Total magnetic moment: 0.00 μB/cell
- Symmetry: Cmc2_1
- Raw total energy: -129.83 eV per cell
- DOS at the Fermi energy: 14.4 states/eV per cell

Cell: 3.957 6.731 11.585 Å, 90.00 99.83 90.00°
Fractional positions:
Si (0.634, 0.457, 0.268)
Ni (0.730, 0.579, 0.459)
Si (0.760, 0.900, 0.521)
Y (0.450, 0.635, 0.899)
Ni (0.059, 0.476, 0.117)
Si (0.030, 0.810, 0.060)
Ni (0.291, 0.699, 0.582)
Ni (0.572, 0.717, 0.145)
Y (0.550, 0.135, 0.101)
Y (0.162, 0.822, 0.324)
Si (0.970, 0.310, 0.940)
Ni (0.941, 0.976, 0.883)
Si (0.366, 0.957, 0.732)
Ni (0.428, 0.217, 0.855)
Ni (0.270, 0.079, 0.541)
Ni (0.854, 0.771, 0.708)
Ni (0.146, 0.271, 0.292)
Y (0.838, 0.322, 0.676)
Si (0.240, 0.400, 0.479)
Ni (0.709, 0.199, 0.418)

=====

A relaxed structure of CaMg2Si, computed with PBE.

Results
- Total magnetic moment: 0.00 μB/cell
- Symmetry: Cm
- Raw total energy: -10.62 eV per cell
- DOS at the Fermi energy: 0.8 states/eV per cell

Cell: 4.625 4.625 6.969 Å, 80.68 80.68 43.35°
Fractional positions:
Si (0.498, 0.498, 0.558)
Mg (0.003, 0.003, 0.944)
Mg (0.763, 0.763, 0.712)
Ca (0.236, 0.236, 0.286)

=====

A relaxed structure of TlAgPb, computed with PBE.

Results
- Total magnetic moment: 0.00 μB/cell
- Energy of formation from the pure elements: 0.07 eV/atom
- Symmetry: Pm
- DOS at the Fermi energy: 2.8 states/eV per cell

Cell: 3.606 4.709 9.612 Å, 89.99 78.75 90.00°
Fractional positions:
Ag (0.381, 0.721, 0.611)
Ag (0.469, 0.221, 0.435)
Tl (0.023, 0.721, 0.331)
Pb (0.828, 0.220, 0.716)
Tl (0.631, 0.220, 0.112)
Pb (0.222, 0.720, 0.934)

=====

A relaxed structure of CePm5Ru4, computed with PBE.

Results
- Total magnetic moment: 0.00 μB/cell
- Energy of formation from the pure elements: -0.21 eV/atom
- Symmetry: C2/m
- DOS at the Fermi energy: 8.3 states/eV per cell

Cell: 4.648 7.000 8.246 Å, 101.14 106.37 90.00°
Fractional positions:
Pm (0.168, 0.542, 0.335)
Pm (0.500, 0.500, 0.000)
Ru (0.648, 0.273, 0.295)
Pm (0.832, 0.458, 0.665)
Pm (0.169, 0.044, 0.338)
Ru (0.997, 0.774, 0.994)
Ru (0.003, 0.226, 0.006)
Ce (0.500, 0.000, 0.000)
Pm (0.831, 0.956, 0.662)
Ru (0.352, 0.727, 0.705)

=====

A relaxed structure of YTe2IN, computed with PBE.

Results
- Total magnetic moment: 0.00 μB/cell
- Symmetry: P4/mmm
- Raw total energy: -19.53 eV per cell
- DOS at the Fermi energy: 2.7 states/eV per cell

Cell: 5.922 5.922 4.018 Å, 90.00 90.00 90.00°
Fractional positions:
N (0.000, 0.000, 0.500)
Te (0.000, 0.500, 0.000)
Y (0.500, 0.500, 0.500)
I (0.000, 0.000, 0.000)
Te (0.500, 0.000, 0.000)

=====

What did the third record say?
A relaxed structure of CePr4Sn15, computed with PBE.

Results
- Total magnetic moment: 0.63 μB/cell
- Energy of formation from the pure elements: -0.51 eV/atom
- Symmetry: P4/mmm
- DOS at the Fermi energy: 14.8 states/eV per cell

Cell: 4.754 4.754 24.186 Å, 90.00 90.00 90.00°
Site moments in Bohr magnetons follow the coordinates.
Fractional positions:
Sn (0.000, 0.500, 0.903)  0.01
Sn (0.500, 0.500, 0.399)  0.00
Pr (0.000, 0.000, 0.804)  0.00
Sn (0.000, 0.500, 0.500)  0.00
Sn (0.500, 0.000, 0.903)  0.01
Sn (0.500, 0.000, 0.097)  0.01
Sn (0.500, 0.000, 0.298)  0.00
Sn (0.500, 0.500, 0.802)  0.00
Sn (0.000, 0.500, 0.298)  0.00
Pr (0.000, 0.000, 0.601)  0.00
Sn (0.500, 0.000, 0.702)  0.00
Sn (0.500, 0.500, 0.000)  0.00
Ce (0.000, 0.000, 0.000)  0.47
Sn (0.000, 0.500, 0.097)  0.01
Pr (0.000, 0.000, 0.196)  0.00
Pr (0.000, 0.000, 0.399)  0.00
Sn (0.500, 0.000, 0.500)  0.00
Sn (0.000, 0.500, 0.702)  0.00
Sn (0.500, 0.500, 0.198)  0.00
Sn (0.500, 0.500, 0.601)  0.00

=====

Which of these has the highest DOS at the Fermi energy? CePr4Sn15

=====

Which value of total magnetic moment does entry 8 give? 0.00 μB/cell

=====

What is the formula in the sixth record? TlAgPb